Below is a relaxed La2ZnInRh crystal, with properties calculated at the PBE-GGA level.

Cell lengths 4.5959, 7.2963, 8.0525 Å; angles 107.29, 90.00, 90.00 degrees
Last column: nearest neighbours and their distance in Å.
Sites, in units of the cell vectors:
La 0.2500 0.1407 0.3396  3 Rh 3.05-3.39, 3 Zn 3.23-3.40, 2 In 3.38
Rh 0.7500 0.1210 0.0856  1 Zn 2.57, 1 La 2.84
Zn 0.7500 0.4467 0.3236  1 Rh 2.57, 2 In 2.78
Zn 0.2500 0.5533 0.6764  1 Rh 2.57, 2 In 2.78
La 0.7500 0.8593 0.6604  3 Rh 3.05-3.39, 3 Zn 3.23-3.40, 2 In 3.38
In 0.7500 0.3331 0.6499  3 Zn 2.78-2.98
Rh 0.2500 0.8790 0.9144  1 Zn 2.57, 1 La 2.84
In 0.2500 0.6669 0.3501  3 Zn 2.78-2.98
La 0.7500 0.7231 0.0542  3 Rh 2.84-2.93
La 0.2500 0.2769 0.9458  3 Rh 2.84-2.93

Properties
space group = P2_1/m
excess energy over the best structure of this formula in the dataset = 0 meV/atom
energy of formation from the pure elements = -0.567 eV per atom
uncorrected energy = -4.811 eV per atom